1.
# Li3Ac2Tl (GGA-PBE, relaxed)
# Total energy, eV per atom: -2.76
data_Li3Ac2Tl
_chemical_formula_sum 'Li6 Ac4 Tl2'
_symmetry_space_group_name_H-M 'P 1'
_symmetry_Int_Tables_number 1
_symmetry_space_group_name_Hall 'P 1'
_cell_length_a 3.806
_cell_length_b 5.241
_cell_length_c 17.825
_cell_angle_alpha 90.00
_cell_angle_beta 90.00
_cell_angle_gamma 90.00
loop_
_atom_site_label
_atom_site_type_symbol
_atom_site_fract_x
_atom_site_fract_y
_atom_site_fract_z
Li1 Li 0.000 0.000 0.000
Li2 Li 0.000 0.000 0.159
Li3 Li 0.000 0.500 0.764
Li4 Li 0.500 0.000 0.264
Li5 Li 0.500 0.500 0.500
Li6 Li 0.500 0.500 0.659
Ac1 Ac 0.000 0.000 0.597
Ac2 Ac 0.000 0.500 0.333
Ac3 Ac 0.500 0.000 0.833
Ac4 Ac 0.500 0.500 0.097
Tl1 Tl 0.000 0.500 0.925
Tl2 Tl 0.500 0.000 0.425


2.
# Ta2CdAg (GGA-PBE, relaxed)
# Total energy, eV per atom: -6.53
data_Ta2CdAg
_chemical_formula_sum 'Ta6 Cd3 Ag3'
_symmetry_space_group_name_H-M 'P 1'
_symmetry_Int_Tables_number 1
_symmetry_space_group_name_Hall 'P 1'
_cell_length_a 2.895
_cell_length_b 2.895
_cell_length_c 30.743
_cell_angle_alpha 90.00
_cell_angle_beta 90.00
_cell_angle_gamma 120.00
loop_
_atom_site_label
_atom_site_type_symbol
_atom_site_fract_x
_atom_site_fract_y
_atom_site_fract_z
Ta1 Ta 0.000 0.000 0.248
Ta2 Ta 0.000 0.000 0.752
Ta3 Ta 0.333 0.667 0.419
Ta4 Ta 0.333 0.667 0.914
Ta5 Ta 0.667 0.333 0.086
Ta6 Ta 0.667 0.333 0.581
Cd1 Cd 0.000 0.000 0.000
Cd2 Cd 0.333 0.667 0.667
Cd3 Cd 0.667 0.333 0.333
Ag1 Ag 0.000 0.000 0.500
Ag2 Ag 0.333 0.667 0.167
Ag3 Ag 0.667 0.333 0.833


3.
# Cs2TlIrI6 (GGA-PBE, relaxed)
# ΔE_f (raw), meV/atom: -758.6
# Total energy, eV per atom: -2.98
data_Cs2TlIrI6
_chemical_formula_sum 'Cs2 Tl1 Ir1 I6'
_symmetry_space_group_name_H-M 'P 1'
_symmetry_Int_Tables_number 1
_symmetry_space_group_name_Hall 'P 1'
_cell_length_a 8.539
_cell_length_b 8.539
_cell_length_c 8.539
_cell_angle_alpha 60.00
_cell_angle_beta 60.00
_cell_angle_gamma 60.00
loop_
_atom_site_label
_atom_site_type_symbol
_atom_site_fract_x
_atom_site_fract_y
_atom_site_fract_z
Cs1 Cs 0.250 0.250 0.250
Cs2 Cs 0.750 0.750 0.750
Tl1 Tl 0.000 0.000 0.000
Ir1 Ir 0.500 0.500 0.500
I1 I 0.276 0.276 0.724
I2 I 0.276 0.724 0.276
I3 I 0.276 0.724 0.724
I4 I 0.724 0.276 0.276
I5 I 0.724 0.276 0.724
I6 I 0.724 0.724 0.276


4.
# BaCa2Ta (GGA-PBE, relaxed)
# Offset from the most stable computed form, meV/atom: 220
# Total energy, eV per atom: -3.57
data_BaCa2Ta
_chemical_formula_sum 'Ba1 Ca2 Ta1'
_symmetry_space_group_name_H-M 'P 1'
_symmetry_Int_Tables_number 1
_symmetry_space_group_name_Hall 'P 1'
_cell_length_a 6.381
_cell_length_b 3.430
_cell_length_c 6.433
_cell_angle_alpha 90.00
_cell_angle_beta 112.41
_cell_angle_gamma 90.00
loop_
_atom_site_label
_atom_site_type_symbol
_atom_site_fract_x
_atom_site_fract_y
_atom_site_fract_z
Ba1 Ba 0.000 0.000 0.000
Ca1 Ca 0.000 0.500 0.500
Ca2 Ca 0.500 0.000 0.500
Ta1 Ta 0.500 0.500 0.000


5.
# SrSb2TeAu (GGA-PBE, relaxed)
# Offset from the most stable computed form, meV/atom: 1014
# ΔE_f (raw), meV/atom: 874.7
# Total energy, eV per atom: -2.39
data_SrSb2TeAu
_chemical_formula_sum 'Sr1 Sb2 Te1 Au1'
_symmetry_space_group_name_H-M 'P 1'
_symmetry_Int_Tables_number 1
_symmetry_space_group_name_Hall 'P 1'
_cell_length_a 6.063
_cell_length_b 6.063
_cell_length_c 5.932
_cell_angle_alpha 90.00
_cell_angle_beta 90.00
_cell_angle_gamma 90.00
loop_
_atom_site_label
_atom_site_type_symbol
_atom_site_fract_x
_atom_site_fract_y
_atom_site_fract_z
Sr1 Sr 0.000 0.000 0.000
Sb1 Sb 0.000 0.500 0.000
Sb2 Sb 0.500 0.000 0.000
Te1 Te 0.000 0.000 0.500
Au1 Au 0.500 0.500 0.500


6.
# TbCeCO (GGA-PBE, relaxed)
# ΔE_f (raw), meV/atom: -1633.4
# Total energy, eV per atom: -7.82
data_TbCeCO
_chemical_formula_sum 'Tb3 Ce3 C3 O3'
_symmetry_space_group_name_H-M 'P 1'
_symmetry_Int_Tables_number 1
_symmetry_space_group_name_Hall 'P 1'
_cell_length_a 3.583
_cell_length_b 3.583
_cell_length_c 17.401
_cell_angle_alpha 90.00
_cell_angle_beta 90.00
_cell_angle_gamma 120.00
loop_
_atom_site_label
_atom_site_type_symbol
_atom_site_fract_x
_atom_site_fract_y
_atom_site_fract_z
Tb1 Tb 0.000 0.000 0.000
Tb2 Tb 0.333 0.667 0.667
Tb3 Tb 0.667 0.333 0.333
Ce1 Ce 0.000 0.000 0.502
Ce2 Ce 0.333 0.667 0.169
Ce3 Ce 0.667 0.333 0.836
C1 C 0.000 0.000 0.248
C2 C 0.333 0.667 0.915
C3 C 0.667 0.333 0.582
O1 O 0.000 0.000 0.747
O2 O 0.333 0.667 0.414
O3 O 0.667 0.333 0.080


7.
# CrSi3Cl (GGA-PBE, relaxed)
# Offset from the most stable computed form, meV/atom: 1051
# ΔE_f (raw), meV/atom: 1299.1
# Total energy, eV per atom: -4.25
data_CrSi3Cl
_chemical_formula_sum 'Cr1 Si3 Cl1'
_symmetry_space_group_name_H-M 'P 1'
_symmetry_Int_Tables_number 1
_symmetry_space_group_name_Hall 'P 1'
_cell_length_a 4.661
_cell_length_b 4.661
_cell_length_c 4.661
_cell_angle_alpha 90.00
_cell_angle_beta 90.00
_cell_angle_gamma 90.00
loop_
_atom_site_label
_atom_site_type_symbol
_atom_site_fract_x
_atom_site_fract_y
_atom_site_fract_z
Cr1 Cr 0.000 0.000 0.000
Si1 Si 0.000 0.500 0.500
Si2 Si 0.500 0.000 0.500
Si3 Si 0.500 0.500 0.000
Cl1 Cl 0.500 0.500 0.500


8.
# AcPuTlPb (GGA-PBE, relaxed)
# Total energy, eV per atom: -6.32
data_AcPuTlPb
_chemical_formula_sum 'Ac4 Pu4 Tl4 Pb4'
_symmetry_space_group_name_H-M 'P 1'
_symmetry_Int_Tables_number 1
_symmetry_space_group_name_Hall 'P 1'
_cell_length_a 8.029
_cell_length_b 8.029
_cell_length_c 8.029
_cell_angle_alpha 90.00
_cell_angle_beta 90.00
_cell_angle_gamma 90.00
loop_
_atom_site_label
_atom_site_type_symbol
_atom_site_fract_x
_atom_site_fract_y
_atom_site_fract_z
Ac1 Ac 0.000 0.000 0.000
Ac2 Ac 0.000 0.500 0.500
Ac3 Ac 0.500 0.000 0.500
Ac4 Ac 0.500 0.500 0.000
Pu1 Pu 0.000 0.000 0.500
Pu2 Pu 0.000 0.500 0.000
Pu3 Pu 0.500 0.000 0.000
Pu4 Pu 0.500 0.500 0.500
Tl1 Tl 0.250 0.250 0.750
Tl2 Tl 0.250 0.750 0.250
Tl3 Tl 0.750 0.250 0.250
Tl4 Tl 0.750 0.750 0.750
Pb1 Pb 0.250 0.250 0.250
Pb2 Pb 0.250 0.750 0.750
Pb3 Pb 0.750 0.250 0.750
Pb4 Pb 0.750 0.750 0.250


9.
# Rh2PbI (GGA-PBE, relaxed)
# Offset from the most stable computed form, meV/atom: 57
# ΔE_f (raw), meV/atom: 406.3
# Total energy, eV per atom: -4.58
data_Rh2PbI
_chemical_formula_sum 'Rh8 Pb4 I4'
_symmetry_space_group_name_H-M 'P 1'
_symmetry_Int_Tables_number 1
_symmetry_space_group_name_Hall 'P 1'
_cell_length_a 6.813
_cell_length_b 6.813
_cell_length_c 6.813
_cell_angle_alpha 90.00
_cell_angle_beta 90.00
_cell_angle_gamma 90.00
loop_
_atom_site_label
_atom_site_type_symbol
_atom_site_fract_x
_atom_site_fract_y
_atom_site_fract_z
Rh1 Rh 0.250 0.250 0.250
Rh2 Rh 0.250 0.250 0.750
Rh3 Rh 0.250 0.750 0.250
Rh4 Rh 0.250 0.750 0.750
Rh5 Rh 0.750 0.250 0.250
Rh6 Rh 0.750 0.250 0.750
Rh7 Rh 0.750 0.750 0.250
Rh8 Rh 0.750 0.750 0.750
Pb1 Pb 0.000 0.000 0.000
Pb2 Pb 0.000 0.500 0.500
Pb3 Pb 0.500 0.000 0.500
Pb4 Pb 0.500 0.500 0.000
I1 I 0.000 0.000 0.500
I2 I 0.000 0.500 0.000
I3 I 0.500 0.000 0.000
I4 I 0.500 0.500 0.500


10.
# Ca2CeReO8 (GGA-PBE, relaxed)
# ΔE_f (raw), meV/atom: -2393.1
# Total energy, eV per atom: -7.56
data_Ca2CeReO8
_chemical_formula_sum 'Ca2 Ce1 Re1 O8'
_symmetry_space_group_name_H-M 'P 1'
_symmetry_Int_Tables_number 1
_symmetry_space_group_name_Hall 'P 1'
_cell_length_a 5.080
_cell_length_b 5.080
_cell_length_c 6.871
_cell_angle_alpha 90.00
_cell_angle_beta 90.00
_cell_angle_gamma 92.46
loop_
_atom_site_label
_atom_site_type_symbol
_atom_site_fract_x
_atom_site_fract_y
_atom_site_fract_z
Ca1 Ca 0.000 0.000 0.241
Ca2 Ca 0.000 0.000 0.759
Ce1 Ce 0.500 0.500 0.500
Re1 Re 0.500 0.500 0.000
O1 O 0.211 0.211 0.500
O2 O 0.233 0.233 0.000
O3 O 0.323 0.677 0.204
O4 O 0.323 0.677 0.796
O5 O 0.677 0.323 0.204
O6 O 0.677 0.323 0.796
O7 O 0.767 0.767 0.000
O8 O 0.789 0.789 0.500


11.
# AcPmThAu (GGA-PBE, relaxed)
# Total energy, eV per atom: -4.86
data_AcPmThAu
_chemical_formula_sum 'Ac4 Pm4 Th4 Au4'
_symmetry_space_group_name_H-M 'P 1'
_symmetry_Int_Tables_number 1
_symmetry_space_group_name_Hall 'P 1'
_cell_length_a 7.807
_cell_length_b 7.807
_cell_length_c 7.807
_cell_angle_alpha 90.00
_cell_angle_beta 90.00
_cell_angle_gamma 90.00
loop_
_atom_site_label
_atom_site_type_symbol
_atom_site_fract_x
_atom_site_fract_y
_atom_site_fract_z
Ac1 Ac 0.000 0.000 0.000
Ac2 Ac 0.000 0.500 0.500
Ac3 Ac 0.500 0.000 0.500
Ac4 Ac 0.500 0.500 0.000
Pm1 Pm 0.250 0.250 0.750
Pm2 Pm 0.250 0.750 0.250
Pm3 Pm 0.750 0.250 0.250
Pm4 Pm 0.750 0.750 0.750
Th1 Th 0.250 0.250 0.250
Th2 Th 0.250 0.750 0.750
Th3 Th 0.750 0.250 0.750
Th4 Th 0.750 0.750 0.250
Au1 Au 0.000 0.000 0.500
Au2 Au 0.000 0.500 0.000
Au3 Au 0.500 0.000 0.000
Au4 Au 0.500 0.500 0.500


12.
# TbBIrRh2 (GGA-PBE, relaxed)
# Total energy, eV per atom: -7.72
data_TbBIrRh2
_chemical_formula_sum 'Tb1 B1 Ir1 Rh2'
_symmetry_space_group_name_H-M 'P 1'
_symmetry_Int_Tables_number 1
_symmetry_space_group_name_Hall 'P 1'
_cell_length_a 4.232
_cell_length_b 4.232
_cell_length_c 4.197
_cell_angle_alpha 90.00
_cell_angle_beta 90.00
_cell_angle_gamma 90.00
loop_
_atom_site_label
_atom_site_type_symbol
_atom_site_fract_x
_atom_site_fract_y
_atom_site_fract_z
Tb1 Tb 0.000 0.000 0.000
B1 B 0.500 0.500 0.500
Ir1 Ir 0.500 0.500 0.000
Rh1 Rh 0.000 0.500 0.500
Rh2 Rh 0.500 0.000 0.500


13.
# Rb2Br2O5 (GGA-PBE, relaxed)
# ΔE_f (raw), meV/atom: -613.8
# Total energy, eV per atom: -3.96
data_Rb2Br2O5
_chemical_formula_sum 'Rb2 Br2 O5'
_symmetry_space_group_name_H-M 'P 1'
_symmetry_Int_Tables_number 1
_symmetry_space_group_name_Hall 'P 1'
_cell_length_a 4.398
_cell_length_b 6.373
_cell_length_c 6.860
_cell_angle_alpha 89.32
_cell_angle_beta 84.72
_cell_angle_gamma 88.85
loop_
_atom_site_label
_atom_site_type_symbol
_atom_site_fract_x
_atom_site_fract_y
_atom_site_fract_z
Rb1 Rb 0.000 0.000 0.000
Rb2 Rb 0.019 0.492 0.544
Br1 Br 0.508 0.992 0.541
Br2 Br 0.521 0.499 0.052
O1 O 0.460 0.712 0.198
O2 O 0.466 0.289 0.203
O3 O 0.479 0.769 0.692
O4 O 0.518 0.206 0.699
O5 O 0.901 0.497 0.987


14.
# AcAlF6 (GGA-PBE, relaxed)
# ΔE_f (raw), meV/atom: -3874.1
# Total energy, eV per atom: -6.26
data_AcAlF6
_chemical_formula_sum 'Ac1 Al1 F6'
_symmetry_space_group_name_H-M 'P 1'
_symmetry_Int_Tables_number 1
_symmetry_space_group_name_Hall 'P 1'
_cell_length_a 4.707
_cell_length_b 4.707
_cell_length_c 4.707
_cell_angle_alpha 98.39
_cell_angle_beta 98.39
_cell_angle_gamma 98.39
loop_
_atom_site_label
_atom_site_type_symbol
_atom_site_fract_x
_atom_site_fract_y
_atom_site_fract_z
Ac1 Ac 0.000 0.000 0.000
Al1 Al 0.500 0.500 0.500
F1 F 0.221 0.221 0.571
F2 F 0.221 0.571 0.221
F3 F 0.429 0.779 0.779
F4 F 0.571 0.221 0.221
F5 F 0.779 0.429 0.779
F6 F 0.779 0.779 0.429


15.
# La3W (GGA-PBE, relaxed)
# Offset from the most stable computed form, meV/atom: 170
# Total energy, eV per atom: -6.35
data_La3W
_chemical_formula_sum 'La9 W3'
_symmetry_space_group_name_H-M 'P 1'
_symmetry_Int_Tables_number 1
_symmetry_space_group_name_Hall 'P 1'
_cell_length_a 3.609
_cell_length_b 3.609
_cell_length_c 31.727
_cell_angle_alpha 90.00
_cell_angle_beta 90.00
_cell_angle_gamma 120.00
loop_
_atom_site_label
_atom_site_type_symbol
_atom_site_fract_x
_atom_site_fract_y
_atom_site_fract_z
La1 La 0.000 0.000 0.000
La2 La 0.000 0.000 0.235
La3 La 0.000 0.000 0.765
La4 La 0.333 0.667 0.432
La5 La 0.333 0.667 0.667
La6 La 0.333 0.667 0.901
La7 La 0.667 0.333 0.099
La8 La 0.667 0.333 0.333
La9 La 0.667 0.333 0.568
W1 W 0.000 0.000 0.500
W2 W 0.333 0.667 0.167
W3 W 0.667 0.333 0.833


16.
# BaPu2CuSe4 (GGA-PBE, relaxed)
# ΔE_f (raw), meV/atom: -1425.0
# Total energy, eV per atom: -7.50
data_BaPu2CuSe4
_chemical_formula_sum 'Ba2 Pu4 Cu2 Se8'
_symmetry_space_group_name_H-M 'P 1'
_symmetry_Int_Tables_number 1
_symmetry_space_group_name_Hall 'P 1'
_cell_length_a 7.369
_cell_length_b 7.369
_cell_length_c 14.381
_cell_angle_alpha 90.00
_cell_angle_beta 90.00
_cell_angle_gamma 146.64
loop_
_atom_site_label
_atom_site_type_symbol
_atom_site_fract_x
_atom_site_fract_y
_atom_site_fract_z
Ba1 Ba 0.112 0.888 0.750
Ba2 Ba 0.888 0.112 0.250
Pu1 Pu 0.368 0.632 0.560
Pu2 Pu 0.368 0.632 0.940
Pu3 Pu 0.632 0.368 0.060
Pu4 Pu 0.632 0.368 0.440
Cu1 Cu 0.156 0.844 0.250
Cu2 Cu 0.844 0.156 0.750
Se1 Se 0.000 0.000 0.000
Se2 Se 0.000 0.000 0.500
Se3 Se 0.266 0.734 0.116
Se4 Se 0.266 0.734 0.384
Se5 Se 0.437 0.563 0.750
Se6 Se 0.563 0.437 0.250
Se7 Se 0.734 0.266 0.616
Se8 Se 0.734 0.266 0.884


17.
# Li3Ce2CuS6 (GGA-PBE, relaxed)
# ΔE_f (raw), meV/atom: -1362.0
# Total energy, eV per atom: -5.23
data_Li3Ce2CuS6
_chemical_formula_sum 'Li3 Ce2 Cu1 S6'
_symmetry_space_group_name_H-M 'P 1'
_symmetry_Int_Tables_number 1
_symmetry_space_group_name_Hall 'P 1'
_cell_length_a 6.673
_cell_length_b 6.673
_cell_length_c 6.517
_cell_angle_alpha 99.73
_cell_angle_beta 99.73
_cell_angle_gamma 120.03
loop_
_atom_site_label
_atom_site_type_symbol
_atom_site_fract_x
_atom_site_fract_y
_atom_site_fract_z
Li1 Li 0.000 0.000 0.000
Li2 Li 0.337 0.663 0.000
Li3 Li 0.663 0.337 0.000
Ce1 Ce 0.167 0.833 0.500
Ce2 Ce 0.833 0.167 0.500
Cu1 Cu 0.500 0.500 0.500
S1 S 0.091 0.417 0.249
S2 S 0.258 0.258 0.749
S3 S 0.417 0.091 0.249
S4 S 0.583 0.909 0.751
S5 S 0.742 0.742 0.251
S6 S 0.909 0.583 0.751


18.
# CaLa2Ru (GGA-PBE, relaxed)
# Offset from the most stable computed form, meV/atom: 437
# Total energy, eV per atom: -5.05
data_CaLa2Ru
_chemical_formula_sum 'Ca4 La8 Ru4'
_symmetry_space_group_name_H-M 'P 1'
_symmetry_Int_Tables_number 1
_symmetry_space_group_name_Hall 'P 1'
_cell_length_a 7.494
_cell_length_b 7.494
_cell_length_c 7.494
_cell_angle_alpha 90.00
_cell_angle_beta 90.00
_cell_angle_gamma 90.00
loop_
_atom_site_label
_atom_site_type_symbol
_atom_site_fract_x
_atom_site_fract_y
_atom_site_fract_z
Ca1 Ca 0.000 0.000 0.000
Ca2 Ca 0.000 0.500 0.500
Ca3 Ca 0.500 0.000 0.500
Ca4 Ca 0.500 0.500 0.000
La1 La 0.000 0.000 0.500
La2 La 0.000 0.500 0.000
La3 La 0.250 0.250 0.750
La4 La 0.250 0.750 0.250
La5 La 0.500 0.000 0.000
La6 La 0.500 0.500 0.500
La7 La 0.750 0.250 0.250
La8 La 0.750 0.750 0.750
Ru1 Ru 0.250 0.250 0.250
Ru2 Ru 0.250 0.750 0.750
Ru3 Ru 0.750 0.250 0.750
Ru4 Ru 0.750 0.750 0.250


19.
# CdSn2Os2 (GGA-PBE, relaxed)
# Offset from the most stable computed form, meV/atom: 0
# Total energy, eV per atom: -5.94
data_CdSn2Os2
_chemical_formula_sum 'Cd2 Sn4 Os4'
_symmetry_space_group_name_H-M 'P 1'
_symmetry_Int_Tables_number 1
_symmetry_space_group_name_Hall 'P 1'
_cell_length_a 7.670
_cell_length_b 7.670
_cell_length_c 3.195
_cell_angle_alpha 90.00
_cell_angle_beta 90.00
_cell_angle_gamma 90.00
loop_
_atom_site_label
_atom_site_type_symbol
_atom_site_fract_x
_atom_site_fract_y
_atom_site_fract_z
Cd1 Cd 0.000 0.000 0.000
Cd2 Cd 0.500 0.500 0.000
Sn1 Sn 0.153 0.347 0.500
Sn2 Sn 0.347 0.847 0.500
Sn3 Sn 0.653 0.153 0.500
Sn4 Sn 0.847 0.653 0.500
Os1 Os 0.144 0.644 0.000
Os2 Os 0.356 0.144 0.000
Os3 Os 0.644 0.856 0.000
Os4 Os 0.856 0.356 0.000


20.
# UReNi4 (GGA-PBE, relaxed)
# Total energy, eV per atom: -7.89
data_UReNi4
_chemical_formula_sum 'U1 Re1 Ni4'
_symmetry_space_group_name_H-M 'P 1'
_symmetry_Int_Tables_number 1
_symmetry_space_group_name_Hall 'P 1'
_cell_length_a 4.837
_cell_length_b 4.837
_cell_length_c 4.837
_cell_angle_alpha 60.00
_cell_angle_beta 60.00
_cell_angle_gamma 60.00
loop_
_atom_site_label
_atom_site_type_symbol
_atom_site_fract_x
_atom_site_fract_y
_atom_site_fract_z
U1 U 0.000 0.000 0.000
Re1 Re 0.250 0.250 0.250
Ni1 Ni 0.129 0.624 0.624
Ni2 Ni 0.624 0.129 0.624
Ni3 Ni 0.624 0.624 0.129
Ni4 Ni 0.624 0.624 0.624